This record from Alexandria describes a relaxed structure of CrReB. The functional is PBE-GGA.

## Properties
* energy above the lowest structure with this stoichiometry: 422 meV per atom
* crystal system: tetragonal
* magnetization: 0.00 μB/cell
* ρ: 12.7 Mg/m³

```
CrReB
1.0
2.8366 0.0000 0.0000
0.0000 2.8366 0.0000
-1.4183 -1.4183 4.0579
B Cr Re
1 1 1
Direct
0.6106 0.6106 0.2212
0.9702 0.9702 0.9404
0.2692 0.2692 0.5383
```



This record from Alexandria describes a relaxed structure of KTbTm2. The functional is PBE-GGA.

## Properties
* crystal system: trigonal
* magnetization: 0.00 μB/cell
* calculated total energy: -3.401 eV/atom
* ρ: 6.2 Mg/m³

```
KTbTm2
1.0
3.5440 0.0000 0.0000
1.7720 3.0692 0.0000
1.7720 1.0231 13.1497
Tb Tm K
1 2 1
Direct
0.5000 0.5000 0.5000
0.9042 0.9042 0.2873
0.0958 0.0958 0.7127
0.0000 0.0000 0.0000
```



This record from Alexandria describes a relaxed structure of Sm4Sb2TeAs. The functional is PBE-GGA.

## Properties
* raw formation energy: -1.34 eV/atom
* crystal system: monoclinic
* magnetization: 0.00 μB/cell
* ρ: 7.2 Mg/m³

```
Sm4Sb2TeAs
1.0
-2.4142 -2.9257 -2.2265
6.1192 -4.4626 -0.7712
0.3792 -4.8175 5.9192
As Sb Sm Te
1 2 4 1
Direct
0.0000 0.5000 0.5000
0.5000 0.0000 0.5000
0.0000 0.0000 0.0000
0.0000 0.2512 0.2616
0.0000 0.7488 0.7384
0.5000 0.2593 0.7361
0.5000 0.7407 0.2639
0.5000 0.5000 0.0000
```



This record from Alexandria describes a relaxed structure of Na2In3Hg2. The functional is PBE-GGA.

## Properties
* energy above the lowest structure with this stoichiometry: 6 meV per atom
* crystal system: orthorhombic
* magnetization: 0.00 μB/cell
* ρ: 7.2 Mg/m³

```
Na2In3Hg2
1.0
-2.5453 -0.0600 2.1257
-2.5346 -2.8278 -3.1148
5.5320 -7.7485 6.4053
In Na Hg
3 2 2
Direct
0.5000 0.5718 0.1436
0.5000 0.4282 0.8564
0.0000 0.0000 0.0000
0.0000 0.8452 0.6903
0.0000 0.1548 0.3097
0.5000 0.2891 0.5782
0.5000 0.7109 0.4218
```